Density functional theory data (PBE-GGA) for crystalline LaTh2Ir at its relaxed geometry.

Structure (CIF):
```
data_LaTh2Ir
_chemical_formula_sum 'La3 Th6 Ir3'
_cell_length_a 4.0312
_cell_length_b 4.0312
_cell_length_c 27.6845
_cell_angle_alpha 90.00
_cell_angle_beta 90.00
_cell_angle_gamma 120.00
_symmetry_space_group_name_H-M 'R 3 m'
_symmetry_Int_Tables_number 160
_symmetry_space_group_name_Hall 'R 3 -2"'
loop_
_atom_site_label
_atom_site_fract_x
_atom_site_fract_y
_atom_site_fract_z
La1 0.0000 0.0000 0.0000
Th1 0.0000 0.0000 0.2270
Th2 0.0000 0.0000 0.4411
Ir1 0.0000 0.0000 0.8349
```

Results
ΔE_f (eV per atom): -0.3898
Electronic total energy (eV/atom): -7.547
Theoretical density (g cm⁻³): 10.17

***

Density functional theory data (PBE-GGA) for crystalline LaThIr at its relaxed geometry.

Structure (CIF):
```
data_LaThIr
_chemical_formula_sum 'La4 Th4 Ir4'
_cell_length_a 7.134
_cell_length_b 6.196
_cell_length_c 10.380
_cell_angle_alpha 90.00
_cell_angle_beta 127.06
_cell_angle_gamma 90.00
_symmetry_space_group_name_H-M 'P 1 21/c 1'
_symmetry_Int_Tables_number 14
_symmetry_space_group_name_Hall '-P 2ybc'
loop_
_atom_site_label
_atom_site_fract_x
_atom_site_fract_y
_atom_site_fract_z
La1 0.193 0.132 0.382
Th1 0.335 0.626 0.629
Ir1 0.322 0.647 0.354
```

Results
ΔE_f (eV per atom): -0.5210
Electronic total energy (eV/atom): -7.590
Theoretical density (g cm⁻³): 10.22